Record 1
Below is an optimized crystal structure of ReMo2As, with properties calculated at the PBE-GGA level.

abc: 2.982 2.982 6.886
angles: 90.00 90.00 90.00
Fractional positions:
Mo 0.000 0.000 0.993
As 0.500 0.500 0.750
Mo 0.000 0.000 0.507
Re 0.500 0.500 0.250

Computed properties:
Electronic total energy = -9.62 eV/atom
Fermi-level density of states = 0.756 states/eV/atom
Spin magnetization = 0.0 μB/cell

=====

Record 2
Below is an optimized crystal structure of ReMo2As, with properties calculated at the PBE-GGA level.

abc: 2.946 4.146 5.112
angles: 90.00 90.00 90.00
Fractional positions:
Mo 0.500 0.500 0.263
Mo 0.000 0.000 0.987
Re 0.000 0.000 0.493
As 0.500 0.500 0.757

Computed properties:
Electronic total energy = -9.50 eV/atom
Fermi-level density of states = 0.962 states/eV/atom
Spin magnetization = 0.0 μB/cell

=====

Record 3
Below is an optimized crystal structure of Re3MoAs, with properties calculated at the PBE-GGA level.

abc: 4.716 4.716 4.716
angles: 90.00 90.00 90.00
Site moments in Bohr magnetons follow the coordinates.
Fractional positions:
Re 0.000 0.500 0.000  0.31
As 0.500 0.500 0.500  -0.06
Mo 0.000 0.000 0.000  -0.08
Re 0.000 0.000 0.500  0.32
Re 0.500 0.000 0.000  0.34

Computed properties:
Electronic total energy = -8.26 eV/atom
Fermi-level density of states = 1.301 states/eV/atom
Spin magnetization = 0.9 μB/cell

=====

Record 4
Below is an optimized crystal structure of ReMo2As, with properties calculated at the PBE-GGA level.

abc: 4.429 4.429 4.429
angles: 60.00 60.00 60.00
Fractional positions:
Mo 0.250 0.250 0.250
Mo 0.000 0.000 0.000
As 0.500 0.500 0.500
Re 0.750 0.750 0.750

Computed properties:
Electronic total energy = -9.38 eV/atom
Fermi-level density of states = 1.372 states/eV/atom
Spin magnetization = 0.0 μB/cell

=====

Record 5
Below is an optimized crystal structure of ReMo2As, with properties calculated at the PBE-GGA level.

abc: 4.870 4.870 2.921
angles: 90.00 90.00 116.46
Fractional positions:
Mo 0.500 0.500 0.000
As 0.000 0.500 0.500
Mo 0.000 0.000 0.000
Re 0.500 0.000 0.500

Computed properties:
Electronic total energy = -9.45 eV/atom
Fermi-level density of states = 0.789 states/eV/atom
Spin magnetization = 0.0 μB/cell

=====

Record 6
Below is an optimized crystal structure of Re2MoAs, with properties calculated at the PBE-GGA level.

abc: 4.984 5.205 2.806
angles: 78.34 81.90 116.15
Fractional positions:
Re 0.000 0.000 0.000
Re 0.500 0.000 0.500
Mo 0.500 0.500 0.000
As 0.000 0.500 0.500

Computed properties:
Electronic total energy = -9.67 eV/atom
Fermi-level density of states = 0.879 states/eV/atom
Spin magnetization = 0.0 μB/cell

=====

Record 7
Below is an optimized crystal structure of ReMoAs3, with properties calculated at the PBE-GGA level.

abc: 3.155 6.568 8.622
angles: 102.53 90.00 90.00
Fractional positions:
Re 0.250 0.688 0.989
As 0.750 0.731 0.538
As 0.750 0.508 0.783
As 0.250 0.492 0.217
As 0.250 0.013 0.853
As 0.750 0.987 0.147
Re 0.750 0.312 0.011
Mo 0.250 0.883 0.361
Mo 0.750 0.117 0.639
As 0.250 0.269 0.462

Computed properties:
Electronic total energy = -7.55 eV/atom
Fermi-level density of states = 0.334 states/eV/atom
Spin magnetization = 0.0 μB/cell

=====

Record 8
Below is an optimized crystal structure of ReMoAs, with properties calculated at the PBE-GGA level.

abc: 4.278 4.278 2.910
angles: 90.00 90.00 120.00
Fractional positions:
Re 0.667 0.333 0.833
Mo 0.333 0.667 0.334
As 0.000 0.000 0.833

Computed properties:
Electronic total energy = -9.23 eV/atom
Fermi-level density of states = 0.400 states/eV/atom
Spin magnetization = 0.0 μB/cell